Compound: CsBa2Co2O6
Source: Alexandria
Functional: PBE with a Hubbard U
Structure: relaxed

Geometry as POSCAR:
```
CsBa2Co2O6
1.0
3.009 1.737 7.745
-3.009 1.737 7.745
0.000 -3.474 7.745
Cs Ba Co O
1 2 2 6
Direct
0.000 0.000 0.000 Cs
0.197 0.197 0.197 Ba
0.803 0.803 0.803 Ba
0.436 0.436 0.436 Co
0.564 0.564 0.564 Co
0.227 0.725 0.725 O
0.275 0.275 0.773 O
0.275 0.773 0.275 O
0.725 0.227 0.725 O
0.725 0.725 0.227 O
0.773 0.275 0.275 O
```

Calculated total energy, eV per atom: -5.6017
SG: No. 166
Volume, Å³/cell: 242.89